# Mg30MnCoO32 | Alexandria via LeMat-Bulk | GGA+U | optimized geometry
data_Mg30MnCoO32
_cell_length_a 8.534
_cell_length_b 8.534
_cell_length_c 8.522
_cell_angle_alpha 90.00
_cell_angle_beta 90.00
_cell_angle_gamma 90.00
_symmetry_space_group_name_H-M 'P 4/m m m'
_symmetry_Int_Tables_number 123
_symmetry_space_group_name_Hall '-P 4 2'
loop_
_atom_site_label
_atom_site_type_symbol
_atom_site_fract_x
_atom_site_fract_y
_atom_site_fract_z
_atom_site_occupancy
Mg1 Mg 0.000 0.000 0.000 1
Mg2 Mg 0.000 0.250 0.251 1
Mg3 Mg 0.000 0.500 0.000 1
Mg4 Mg 0.000 0.500 0.500 1
Mg5 Mg 0.248 0.248 0.500 1
Mg6 Mg 0.249 0.500 0.249 1
Mg7 Mg 0.250 0.250 0.000 1
Mg8 Mg 0.500 0.500 0.000 1
Mn1 Mn 0.500 0.500 0.500 1
Co1 Co 0.000 0.000 0.500 1
O1 O 0.000 0.000 0.250 1
O2 O 0.000 0.249 0.000 1
O3 O 0.000 0.253 0.500 1
O4 O 0.000 0.500 0.249 1
O5 O 0.244 0.500 0.500 1
O6 O 0.249 0.500 0.000 1
O7 O 0.250 0.250 0.250 1
O8 O 0.500 0.500 0.243 1
# - spin magnetization (μB per cell) = 8.0
# - calculated total energy (eV per cell) = -385.9